Here is Pm7PbBr12 after structural relaxation from the Alexandria database. Energies are from GGA-PBE.

The structure in CIF format:
```
data_Pm7PbBr12
_chemical_formula_sum 'Pm21 Pb3 Br36'
_symmetry_space_group_name_H-M 'R -3'
_symmetry_Int_Tables_number 148
_symmetry_space_group_name_Hall '-R 3'
_cell_length_a 15.6044
_cell_length_b 15.6044
_cell_length_c 9.6342
_cell_angle_alpha 90.00
_cell_angle_beta 90.00
_cell_angle_gamma 120.00
loop_
_atom_site_label
_atom_site_type_symbol
_atom_site_fract_x
_atom_site_fract_y
_atom_site_fract_z
_atom_site_occupancy
Pm1 Pm 0.0000 0.0000 0.0000 1
Pm2 Pm 0.0473 0.8759 0.3066 1
Pb1 Pb 0.0000 0.0000 0.5000 1
Br1 Br 0.0363 0.4468 0.1639 1
Br2 Br 0.0522 0.8618 0.8501 1
```

Summary:
For the uncorrected formation energy, the calculation gives -1.55 eV/atom. The calculation puts the uncorrected energy at -4.398 eV per atom. As for the density of states at the Fermi level: 23.25 states/eV per cell.